Computed, not measured: crystalline Y3Fe5 at its relaxed geometry at the PBE level of DFT.

Summary:
- VASP energy (Ha/atom) = -0.2741
- excess energy over the best structure of this formula in the dataset (meV/atom) = 158
- SG = No. 193
- calculated density (g/cm3) = 5.7

a = 9.053 Å, b = 9.053 Å, c = 4.447 Å
α = 90.00°, β = 90.00°, γ = 120.00°
Atoms (fractional coordinates):
Y1 0.000 0.363 0.250
Y2 0.000 0.637 0.750
Y3 0.363 0.000 0.250
Y4 0.363 0.363 0.750
Y5 0.637 0.000 0.750
Y6 0.637 0.637 0.250
Fe1 0.000 0.149 0.750
Fe2 0.000 0.851 0.250
Fe3 0.149 0.000 0.750
Fe4 0.149 0.149 0.250
Fe5 0.333 0.667 0.000
Fe6 0.333 0.667 0.500
Fe7 0.667 0.333 0.000
Fe8 0.667 0.333 0.500
Fe9 0.851 0.000 0.250
Fe10 0.851 0.851 0.750


Computed, not measured: crystalline YFe3 at its relaxed geometry at the PBE level of DFT.

Summary:
- VASP energy (Ha/atom) = -0.2949
- SG = No. 194
- calculated density (g/cm3) = 7.0

a = 5.110 Å, b = 5.110 Å, c = 16.159 Å
α = 90.00°, β = 90.00°, γ = 120.00°
Atoms (fractional coordinates):
Y1 0.333 0.667 0.037
Y2 0.333 0.667 0.250
Y3 0.333 0.667 0.463
Y4 0.667 0.333 0.537
Y5 0.667 0.333 0.750
Y6 0.667 0.333 0.963
Fe1 0.000 0.000 0.000
Fe2 0.000 0.000 0.250
Fe3 0.000 0.000 0.500
Fe4 0.000 0.000 0.750
Fe5 0.167 0.333 0.628
Fe6 0.167 0.333 0.872
Fe7 0.167 0.833 0.628
Fe8 0.167 0.833 0.872
Fe9 0.333 0.167 0.128
Fe10 0.333 0.167 0.372
Fe11 0.333 0.667 0.750
Fe12 0.667 0.333 0.250
Fe13 0.667 0.833 0.628
Fe14 0.667 0.833 0.872
Fe15 0.833 0.167 0.128
Fe16 0.833 0.167 0.372
Fe17 0.833 0.667 0.128
Fe18 0.833 0.667 0.372


Computed, not measured: crystalline YFe3 at its relaxed geometry at the PBE level of DFT.

Summary:
- VASP energy (Ha/atom) = -0.2767
- SG = No. 166
- calculated density (g/cm3) = 7.0

a = 5.012 Å, b = 5.012 Å, c = 5.012 Å
α = 116.37°, β = 116.37°, γ = 116.37°
Atoms (fractional coordinates):
Y1 0.000 0.000 0.000
Fe1 0.000 0.500 0.500
Fe2 0.500 0.000 0.500
Fe3 0.500 0.500 0.000


Q: The lowest calculated density belongs to which entry?
A: Y3Fe5